(1)
La6CoPb after structural relaxation. Source: the Alexandria database, functional GGA-PBE.

The structure in POSCAR format:
```
La6CoPb
1.0
-6.1974 -1.9268 0.7376
-0.1301 -4.4645 6.8907
-1.0617 2.0210 6.1822
La Pb Co
6 1 1
direct
0.7884 0.5850 0.6086 La
0.6057 0.7802 0.0000 La
0.7884 0.1936 0.3914 La
0.2116 0.4150 0.3914 La
0.3943 0.2198 0.0000 La
0.2116 0.8064 0.6086 La
0.0000 0.0000 0.0000 Pb
0.5000 0.5000 0.0000 Co
```

Results
formation energy: -0.174 eV/atom
raw total energy: -41.77 eV per cell

=====

(2)
La2CoPb after structural relaxation. Source: the Alexandria database, functional GGA-PBE.

The structure in POSCAR format:
```
La2CoPb
1.0
5.8459 -0.0013 0.0030
1.6363 5.6122 -0.0030
-3.0728 -3.6966 3.3267
Co Pb La
1 1 2
direct
0.2500 0.7500 0.5000 Co
0.7500 0.2500 0.5000 Pb
0.0554 0.0554 0.0000 La
0.4446 0.4446 0.0000 La
```

Results
formation energy: -0.150 eV/atom
raw total energy: -21.27 eV per cell

=====

(3)
La2CoPb after structural relaxation. Source: the Alexandria database, functional GGA-PBE.

The structure in POSCAR format:
```
La2CoPb
1.0
-0.4384 -8.0996 1.1834
1.8404 1.0572 7.9178
-2.4865 -3.2458 5.2547
Co La Pb
2 4 2
direct
0.5000 0.5000 0.0000 Co
0.2500 0.7500 0.5000 Co
0.3750 0.4466 0.7500 La
0.1966 0.6250 0.2500 La
0.8750 0.8034 0.7500 La
0.5534 0.1250 0.2500 La
0.0000 0.0000 0.0000 Pb
0.7500 0.2500 0.5000 Pb
```

Results
formation energy: -0.133 eV/atom
raw total energy: -42.40 eV per cell

=====

(4)
La2CoPb after structural relaxation. Source: the Alexandria database, functional GGA-PBE.

The structure in POSCAR format:
```
La2CoPb
1.0
4.3131 0.0000 0.0000
0.0000 4.9043 -0.0086
0.0000 2.4581 5.3212
Pb Co La
1 1 2
direct
0.0000 0.6862 0.5034 Pb
0.5000 0.5186 0.8339 Co
0.0000 0.9894 0.8981 La
0.5000 0.3059 0.2646 La
```

Results
formation energy: -0.239 eV/atom
raw total energy: -21.63 eV per cell

=====

(5)
La5Co2Pb after structural relaxation. Source: the Alexandria database, functional GGA-PBE.

The structure in POSCAR format:
```
La5Co2Pb
1.0
-6.5695 -4.4835 0.7390
3.6218 -4.3820 5.6113
-0.9622 8.8269 1.8287
La Co Pb
10 4 2
direct
0.7880 0.9719 0.2600 La
0.2880 0.7880 0.2600 La
0.2120 0.0281 0.7400 La
0.0000 0.0000 0.0000 La
0.4719 0.2880 0.2600 La
0.9719 0.4719 0.2600 La
0.5000 0.5000 0.0000 La
0.7120 0.2120 0.7400 La
0.0281 0.5281 0.7400 La
0.5281 0.7120 0.7400 La
0.3580 0.8580 0.0000 Co
0.8580 0.6420 0.0000 Co
0.6420 0.1420 0.0000 Co
0.1420 0.3580 0.0000 Co
0.2500 0.2500 0.5000 Pb
0.7500 0.7500 0.5000 Pb
```

Results
formation energy: -0.259 eV/atom
raw total energy: -89.25 eV per cell

=====

(6)
La2CoPb after structural relaxation. Source: the Alexandria database, functional GGA-PBE.

The structure in POSCAR format:
```
La2CoPb
1.0
3.5588 0.0525 0.0000
-0.0636 3.5586 0.0000
0.0000 0.0000 8.3843
La Pb Co
2 1 1
direct
0.0000 0.0000 0.5514 La
0.0000 0.0000 0.9486 La
0.5000 0.5000 0.2500 Pb
0.5000 0.5000 0.7500 Co
```

Results
formation energy: -0.270 eV/atom
raw total energy: -21.75 eV per cell

=====

(7)
La2Co2Pb after structural relaxation. Source: the Alexandria database, functional GGA-PBE.

The structure in POSCAR format:
```
La2Co2Pb
1.0
-4.5953 -0.4185 3.1567
2.6642 -3.5411 3.4088
0.2457 1.0108 5.4426
Co La Pb
2 2 1
direct
0.6515 0.6515 0.6971 Co
0.3485 0.3485 0.3029 Co
0.2500 0.7500 0.5000 La
0.7500 0.2500 0.5000 La
0.0000 0.0000 0.0000 Pb
```

Results
formation energy: -0.023 eV/atom
raw total energy: -27.89 eV per cell

=====

(8)
LaCoPb after structural relaxation. Source: the Alexandria database, functional GGA-PBE.

The structure in POSCAR format:
```
LaCoPb
1.0
-2.4480 2.1923 3.4239
-1.9366 -2.5248 3.5210
1.7894 0.2842 4.3863
La Co Pb
1 1 1
direct
0.0000 0.0000 0.0000 La
0.2500 0.2500 0.2500 Co
0.5000 0.5000 0.5000 Pb
```

Results
formation energy: -0.140 eV/atom
raw total energy: -16.16 eV per cell

=====

(9)
La2Co2Pb after structural relaxation. Source: the Alexandria database, functional GGA-PBE.

The structure in POSCAR format:
```
La2Co2Pb
1.0
3.5545 0.0000 0.0000
0.0000 3.5545 0.0000
1.7772 1.7772 9.5108
La Co Pb
2 2 1
direct
0.3707 0.3707 0.2585 La
0.6293 0.6293 0.7415 La
0.7500 0.2500 0.5000 Co
0.2500 0.7500 0.5000 Co
0.0000 0.0000 0.0000 Pb
```

Results
formation energy: -0.081 eV/atom
raw total energy: -28.18 eV per cell

=====

(10)
La2CoPb after structural relaxation. Source: the Alexandria database, functional GGA-PBE.

The structure in POSCAR format:
```
La2CoPb
1.0
6.0023 -0.0368 0.0000
2.5464 5.4355 0.0000
-4.2743 -2.6993 3.2361
La Pb Co
2 1 1
direct
0.0000 0.0000 0.0000 La
0.2500 0.7500 0.5000 La
0.5000 0.5000 0.0000 Pb
0.7500 0.2500 0.5000 Co
```

Results
formation energy: -0.035 eV/atom
raw total energy: -20.81 eV per cell

=====

(11)
LaCo3Pb after structural relaxation. Source: the Alexandria database, functional GGA-PBE.

The structure in POSCAR format:
```
LaCo3Pb
1.0
4.8450 0.0000 0.0000
0.0000 4.8450 0.0000
0.0000 0.0000 4.8450
La Co Pb
1 3 1
direct
0.5000 0.5000 0.5000 La
0.0000 0.0000 0.5000 Co
0.5000 0.0000 0.0000 Co
0.0000 0.5000 0.0000 Co
0.0000 0.0000 0.0000 Pb
```

Results
formation energy: 0.838 eV/atom
raw total energy: -25.76 eV per cell

=====

(12)
LaPr2CoPb after structural relaxation. Source: the Alexandria database, functional GGA-PBE.

The structure in POSCAR format:
```
LaPr2CoPb
1.0
-3.5883 -3.1628 -1.8906
2.3925 -4.1841 2.4588
-3.0500 0.8359 4.3903
Co Pr Pb La
1 2 1 1
direct
0.0000 0.0000 0.0000 Co
0.0000 0.0000 0.5000 Pr
0.0000 0.5000 0.0000 Pr
0.5000 0.5000 0.5000 Pb
0.5000 0.0000 0.0000 La
```

Results
formation energy: -0.294 eV/atom
raw total energy: -26.77 eV per cell

=====

- Among the records above, which one has the highest formation energy?
  LaCo3Pb

=====

Repeat the eighth record exactly.
LaCoPb after structural relaxation. Source: the Alexandria database, functional GGA-PBE.

The structure in POSCAR format:
```
LaCoPb
1.0
-2.4480 2.1923 3.4239
-1.9366 -2.5248 3.5210
1.7894 0.2842 4.3863
La Co Pb
1 1 1
direct
0.0000 0.0000 0.0000 La
0.2500 0.2500 0.2500 Co
0.5000 0.5000 0.5000 Pb
```

Results
formation energy: -0.140 eV/atom
raw total energy: -16.16 eV per cell

=====

- Look up the formation energy of the second one.
  -0.150 eV/atom

=====

What did the seventh record say?
La2Co2Pb after structural relaxation. Source: the Alexandria database, functional GGA-PBE.

The structure in POSCAR format:
```
La2Co2Pb
1.0
-4.5953 -0.4185 3.1567
2.6642 -3.5411 3.4088
0.2457 1.0108 5.4426
Co La Pb
2 2 1
direct
0.6515 0.6515 0.6971 Co
0.3485 0.3485 0.3029 Co
0.2500 0.7500 0.5000 La
0.7500 0.2500 0.5000 La
0.0000 0.0000 0.0000 Pb
```

Results
formation energy: -0.023 eV/atom
raw total energy: -27.89 eV per cell